Entry 1:
First-principles (PBE) data for a relaxed structure of DyHo6Er2Sc, as listed in the Alexandria database.

## Properties
M_tot: 0.00 Bohr magnetons per cell
Formation energy from the elements: 0.13 eV per atom
SG: C2/c, No. 15
Uncorrected energy: -4.62 eV per atom

Lattice parameters (Å, degrees): 9.516 8.601 8.601 117.78 85.12 85.12
Element x y z (fractional)
Ho 0.957 0.787 0.690
Er 0.379 0.998 0.207
Ho 0.457 0.690 0.787
Sc 0.750 0.480 0.520
Ho 0.943 0.622 0.249
Ho 0.815 0.079 0.522
Er 0.879 0.207 0.998
Ho 0.043 0.213 0.310
Ho 0.057 0.378 0.751
Sc 0.250 0.520 0.480
Ho 0.185 0.921 0.478
Dy 0.750 0.906 0.094
Er 0.621 0.002 0.793
Er 0.121 0.793 0.002
Ho 0.543 0.310 0.213
Dy 0.250 0.094 0.906
Ho 0.443 0.249 0.622
Ho 0.315 0.522 0.079
Ho 0.685 0.478 0.921
Ho 0.557 0.751 0.378

---

Entry 2:
First-principles (PBE) data for a relaxed structure of RbNi3Se, as listed in the Alexandria database.

## Properties
M_tot: 1.18 Bohr magnetons per cell
Energy relative to the elements, uncorrected: 47.154 kcal/mol of atoms
SG: Pm-3m, No. 221
Energy above the lowest structure with this stoichiometry: 1651.1 meV per atom
Uncorrected energy: -2.31 eV per atom

Lattice parameters (Å, degrees): 4.690 4.690 4.690 90.00 90.00 90.00
Site moments in Bohr magnetons follow the coordinates.
Element x y z (fractional)
Ni 0.000 0.500 0.000  0.41
Rb 0.000 0.000 0.000  -0.01
Se 0.500 0.500 0.500  0.13
Ni 0.000 0.000 0.500  0.26
Ni 0.500 0.000 0.000  0.44